(1)
DFT (PBE-GGA) results for crystalline PmZrCuSn at its relaxed geometry.

Lattice parameters (Å, degrees): 7.1494 7.1494 7.1494 90.00 90.00 90.00
Space group F-43m (No. 216)
Unique sites:
Pm 0.0000 0.0000 0.0000
Zr 0.0000 0.0000 0.5000
Cu 0.2500 0.2500 0.7500
Sn 0.2500 0.2500 0.2500

Values from the calculation:
E_tot = -5.61 eV per atom
Magnetic moment = 0.00 Bohr magnetons per cell
N(E_F) = 9.74 states/eV per cell
Formation energy = -256.6 meV/atom


(2)
DFT (PBE-GGA) results for crystalline SrPm2Cu at its relaxed geometry.

Lattice parameters (Å, degrees): 3.8721 3.8721 33.0672 90.00 90.00 120.00
Space group R-3m (No. 166, hexagonal axes)
Unique sites:
Sr 0.0000 0.0000 0.0000
Pm 0.0000 0.0000 0.1122
Cu 0.0000 0.0000 0.5000

Values from the calculation:
E_tot = -3.61 eV per atom
Magnetic moment = 0.00 Bohr magnetons per cell
N(E_F) = 18.70 states/eV per cell
Formation energy = 211.8 meV/atom